one) {
  "formula": "Pr12Y6Ho",
  "functional": "PBE",
  "state": "relaxed",
  "total_magnetization_mub_per_cell": 0.0,
  "space_group": "R-3 (148)",
  "cell": [[6.155, 3.553, 5.133], [-6.155, 3.553, 5.133], [0.000, -7.107, 5.133]],
  "species": ["Pr", "Pr", "Pr", "Pr", "Pr", "Pr", "Pr", "Pr", "Pr", "Pr", "Pr", "Pr", "Y", "Y", "Y", "Y", "Y", "Y", "Ho"],
  "frac_coords": [[0.020, 0.193, 0.363], [0.193, 0.363, 0.020], [0.218, 0.465, 0.566], [0.363, 0.020, 0.193], [0.434, 0.782, 0.535], [0.465, 0.566, 0.218], [0.535, 0.434, 0.782], [0.566, 0.218, 0.465], [0.637, 0.980, 0.807], [0.782, 0.535, 0.434], [0.807, 0.637, 0.980], [0.980, 0.807, 0.637], [0.100, 0.705, 0.260], [0.260, 0.100, 0.705], [0.295, 0.740, 0.900], [0.705, 0.260, 0.100], [0.740, 0.900, 0.295], [0.900, 0.295, 0.740], [0.000, 0.000, 0.000]]
}

two) {
  "formula": "Pr12Y6Ho",
  "functional": "PBE",
  "state": "relaxed",
  "total_magnetization_mub_per_cell": 0.0,
  "space_group": "R-3m (166)",
  "cell": [[8.174, 4.719, 3.046], [-8.174, 4.719, 3.046], [0.000, -9.439, 3.046]],
  "species": ["Pr", "Pr", "Pr", "Pr", "Pr", "Pr", "Pr", "Pr", "Pr", "Pr", "Pr", "Pr", "Y", "Y", "Y", "Y", "Y", "Y", "Ho"],
  "frac_coords": [[0.000, 0.391, 0.609], [0.000, 0.609, 0.391], [0.240, 0.240, 0.498], [0.240, 0.498, 0.240], [0.391, 0.000, 0.609], [0.391, 0.609, 0.000], [0.498, 0.240, 0.240], [0.502, 0.760, 0.760], [0.609, 0.000, 0.391], [0.609, 0.391, 0.000], [0.760, 0.502, 0.760], [0.760, 0.760, 0.502], [0.148, 0.148, 0.771], [0.148, 0.771, 0.148], [0.229, 0.852, 0.852], [0.771, 0.148, 0.148], [0.852, 0.229, 0.852], [0.852, 0.852, 0.229], [0.500, 0.500, 0.500]]
}

The winner here is one), beating the second structure by 0.271 eV/atom.

one) {
  "formula": "Pr5Y4Ho2",
  "functional": "PBE",
  "state": "relaxed",
  "total_magnetization_mub_per_cell": 0.0,
  "space_group": "Immm (71)",
  "cell": [[-1.780, 4.617, 11.893], [1.780, -4.617, 11.893], [1.780, 4.617, -11.893]],
  "species": ["Pr", "Pr", "Pr", "Pr", "Pr", "Y", "Y", "Y", "Y", "Ho", "Ho"],
  "frac_coords": [[0.000, 0.000, 0.000], [0.053, 0.352, 0.701], [0.348, 0.648, 0.701], [0.652, 0.352, 0.299], [0.947, 0.648, 0.299], [0.313, 0.500, 0.813], [0.402, 0.902, 0.500], [0.598, 0.098, 0.500], [0.687, 0.500, 0.187], [0.269, 0.769, 0.500], [0.731, 0.231, 0.500]]
}

two) {
  "formula": "Pr5Y4Ho2",
  "functional": "PBE",
  "state": "relaxed",
  "total_magnetization_mub_per_cell": 0.0,
  "space_group": "C2/m (12)",
  "cell": [[8.934, -1.787, 0.000], [8.934, 1.787, 0.000], [-0.802, 0.000, 11.703]],
  "species": ["Pr", "Pr", "Pr", "Pr", "Pr", "Y", "Y", "Y", "Y", "Ho", "Ho"],
  "frac_coords": [[0.000, 0.000, 0.000], [0.323, 0.323, 0.927], [0.403, 0.403, 0.464], [0.597, 0.597, 0.536], [0.677, 0.677, 0.073], [0.141, 0.141, 0.795], [0.464, 0.464, 0.738], [0.536, 0.536, 0.262], [0.859, 0.859, 0.205], [0.216, 0.216, 0.355], [0.784, 0.784, 0.645]]
}

The winner here is two), beating the second structure by 0.136 eV/atom.

one) {
  "formula": "Pr6YHo5",
  "functional": "PBE",
  "state": "relaxed",
  "total_magnetization_mub_per_cell": 0.0,
  "space_group": "C2/m (12)",
  "cell": [[3.152, -5.459, 0.000], [3.152, 5.459, 0.000], [-2.097, 0.000, 11.682]],
  "species": ["Pr", "Pr", "Pr", "Pr", "Pr", "Pr", "Y", "Ho", "Ho", "Ho", "Ho", "Ho"],
  "frac_coords": [[0.082, 0.416, 0.749], [0.249, 0.249, 0.251], [0.416, 0.082, 0.749], [0.584, 0.918, 0.251], [0.751, 0.751, 0.749], [0.918, 0.584, 0.251], [0.500, 0.500, 0.000], [0.000, 0.000, 0.500], [0.167, 0.833, 0.000], [0.333, 0.667, 0.500], [0.667, 0.333, 0.500], [0.833, 0.167, 0.000]]
}

two) {
  "formula": "Pr6YHo5",
  "functional": "PBE",
  "state": "relaxed",
  "total_magnetization_mub_per_cell": 0.0,
  "space_group": "Immm (71)",
  "cell": [[-2.585, 5.059, 7.717], [2.585, -5.059, 7.717], [2.585, 5.059, -7.717]],
  "species": ["Pr", "Pr", "Pr", "Pr", "Pr", "Pr", "Y", "Ho", "Ho", "Ho", "Ho", "Ho"],
  "frac_coords": [[0.082, 0.333, 0.749], [0.249, 0.000, 0.249], [0.417, 0.667, 0.749], [0.583, 0.333, 0.251], [0.751, 0.000, 0.751], [0.918, 0.667, 0.251], [0.500, 0.500, 0.000], [0.000, 0.500, 0.500], [0.167, 0.167, 0.000], [0.333, 0.833, 0.500], [0.667, 0.167, 0.500], [0.833, 0.833, 0.000]]
}

The winner here is one), beating the second structure by 0.006 eV/atom.

one) {
  "formula": "Pr3Y5Ho4",
  "functional": "PBE",
  "state": "relaxed",
  "total_magnetization_mub_per_cell": 0.0,
  "space_group": "P-1 (2)",
  "cell": [[6.210, 0.000, 0.000], [-0.018, 7.180, 0.000], [-3.099, -1.823, 8.802]],
  "species": ["Pr", "Pr", "Pr", "Y", "Y", "Y", "Y", "Y", "Ho", "Ho", "Ho", "Ho"],
  "frac_coords": [[0.000, 0.000, 0.000], [0.499, 0.916, 0.665], [0.501, 0.084, 0.335], [0.000, 0.500, 0.000], [0.002, 0.336, 0.335], [0.499, 0.253, 0.000], [0.501, 0.747, 0.000], [0.998, 0.664, 0.665], [0.001, 0.169, 0.667], [0.498, 0.583, 0.332], [0.502, 0.417, 0.668], [0.999, 0.831, 0.333]]
}

two) {
  "formula": "Pr3Y5Ho4",
  "functional": "PBE",
  "state": "relaxed",
  "total_magnetization_mub_per_cell": 0.2,
  "space_group": "C2/m (12)",
  "cell": [[8.070, -2.978, 0.000], [8.070, 2.978, 0.000], [-4.112, 0.000, 8.350]],
  "species": ["Pr", "Pr", "Pr", "Y", "Y", "Y", "Y", "Y", "Ho", "Ho", "Ho", "Ho"],
  "frac_coords": [[0.000, 0.000, 0.000], [0.292, 0.292, 0.772], [0.708, 0.708, 0.228], [0.074, 0.074, 0.699], [0.172, 0.172, 0.389], [0.500, 0.500, 0.000], [0.828, 0.828, 0.611], [0.926, 0.926, 0.301], [0.291, 0.291, 0.125], [0.419, 0.419, 0.559], [0.581, 0.581, 0.441], [0.709, 0.709, 0.875]]
}

The winner here is one), beating the second structure by 0.216 eV/atom.